First-principles (PBE-GGA) data for SrIrCl3 after structural relaxation, as listed in the Alexandria database.

* DOS(E_F): 1.16 states/eV/cell
* ΔE_f (raw): -0.818 eV/atom
* symmetry: Pm-3m (221)

Cell lengths 4.912, 4.912, 4.912 Å; angles 90.00, 90.00, 90.00 degrees
Element x y z (fractional)
Cl (0.500, 0.000, 0.000)
Cl (0.000, 0.000, 0.500)
Cl (0.000, 0.500, 0.000)
Sr (0.500, 0.500, 0.500)
Ir (0.000, 0.000, 0.000)